[1]
YInHg2: optimized geometry, PBE.

Unit cell a=4.6360 b=4.6360 c=4.5418 alpha=90.00 beta=90.00 gamma=90.00
Sites, in units of the cell vectors:
Y 0.0000 0.0000 0.0000
In 0.5000 0.5000 0.0000
Hg 0.0000 0.5000 0.5000
Hg 0.5000 0.0000 0.5000

* total magnetic moment: 0.0000 μB/atom
* formation enthalpy at 0 K: -0.362 eV per atom
* density: 10.29 Mg/m³
* space group: No. 123

***

[2]
Tb3PuP4: optimized geometry, PBE.

Unit cell a=6.9427 b=8.0360 c=6.9623 alpha=90.00 beta=109.50 gamma=90.00
Sites, in units of the cell vectors:
Tb 0.0000 0.1242 0.2500
Tb 0.0000 0.3739 0.7500
Tb 0.0000 0.6261 0.2500
Tb 0.0000 0.8758 0.7500
Tb 0.5000 0.1241 0.7500
Tb 0.5000 0.8759 0.2500
Pu 0.5000 0.3741 0.2500
Pu 0.5000 0.6259 0.7500
P 0.2509 0.1270 0.0026
P 0.2509 0.8730 0.5026
P 0.2560 0.3782 0.4992
P 0.2560 0.6218 0.9992
P 0.7440 0.3782 0.0008
P 0.7440 0.6218 0.5008
P 0.7491 0.1270 0.4974
P 0.7491 0.8730 0.9974

* total magnetic moment: 0.6123 μB/atom
* formation enthalpy at 0 K: -1.492 eV per atom
* density: 7.66 Mg/m³
* space group: No. 13

***

[3]
K4HCl3: optimized geometry, PBE.

Unit cell a=8.8636 b=12.4980 c=4.4147 alpha=90.00 beta=90.00 gamma=90.00
Sites, in units of the cell vectors:
K 0.0000 0.2428 0.0000
K 0.0000 0.7572 0.0000
K 0.2384 0.0000 0.5000
K 0.2616 0.5000 0.5000
K 0.5000 0.2572 0.0000
K 0.5000 0.7428 0.0000
K 0.7384 0.5000 0.5000
K 0.7616 0.0000 0.5000
H 0.0000 0.0000 0.0000
H 0.5000 0.5000 0.0000
Cl 0.0000 0.5000 0.0000
Cl 0.2500 0.2500 0.5000
Cl 0.2500 0.7500 0.5000
Cl 0.5000 0.0000 0.0000
Cl 0.7500 0.2500 0.5000
Cl 0.7500 0.7500 0.5000

* total magnetic moment: 0.0022 μB/atom
* raw total energy: -3.168 eV per atom
* density: 1.79 Mg/m³
* space group: No. 65

***

[4]
RbV3Sb: optimized geometry, PBE.

Unit cell a=4.5784 b=4.5784 c=4.5784 alpha=90.00 beta=90.00 gamma=90.00
Sites, in units of the cell vectors:
Rb 0.0000 0.0000 0.0000
V 0.0000 0.0000 0.5000
V 0.0000 0.5000 0.0000
V 0.5000 0.0000 0.0000
Sb 0.5000 0.5000 0.5000

* total magnetic moment: 0.0001 μB/atom
* density: 6.23 Mg/m³
* space group: No. 221
* formation energy without anion corrections: 2.439 eV/atom